The following is a DFT calculation (GGA-PBE) of a relaxed structure of GdTaPb.

Output
- magnetization (μB/atom) = 0.3500
- symmetry = F-43m (216)

Structure (extended XYZ):
```
12
Lattice="6.929 0.000 0.000 0.000 6.929 0.000 0.000 0.000 6.929" Properties=species:S:1:pos:R:3 pbc="T T T"
Gd 0.000 0.000 0.000
Gd 0.000 3.464 3.464
Gd 3.464 0.000 3.464
Gd 3.464 3.464 0.000
Ta 0.000 0.000 3.464
Ta 0.000 3.464 0.000
Ta 3.464 0.000 0.000
Ta 3.464 3.464 3.464
Pb 1.732 1.732 1.732
Pb 1.732 5.196 5.196
Pb 5.196 1.732 5.196
Pb 5.196 5.196 1.732
```

The following is a DFT calculation (GGA-PBE) of a relaxed structure of CdHgSe2.

Output
- distance to the lowest polymorph of the same formula (eV/atom) = 0.000
- symmetry = P-4m2 (115)

Structure (extended XYZ):
```
4
Lattice="4.401 0.000 0.000 0.000 4.401 0.000 0.000 0.000 6.218" Properties=species:S:1:pos:R:3 pbc="T T T"
Cd 0.000 0.000 0.000
Hg 2.201 2.201 3.109
Se 0.000 2.201 1.535
Se 2.201 0.000 4.683
```

The following is a DFT calculation (GGA-PBE) of a relaxed structure of AlZn.

Output
- symmetry = P6_3/mmc (194)

Structure (extended XYZ):
```
4
Lattice="4.440 0.000 0.000 -2.220 3.845 0.000 0.000 0.000 5.126" Properties=species:S:1:pos:R:3 pbc="T T T"
Al 0.000 2.563 1.281
Al 2.220 1.282 3.844
Zn 0.000 2.563 3.844
Zn 2.220 1.282 1.281
```

The following is a DFT calculation (GGA-PBE) of a relaxed structure of Re2F.

Output
- magnetization (μB/atom) = 0.0027
- distance to the lowest polymorph of the same formula (eV/atom) = 0.479
- symmetry = Fm-3m (225)

Structure (extended XYZ):
```
12
Lattice="5.516 0.000 0.000 0.000 5.516 0.000 0.000 0.000 5.516" Properties=species:S:1:pos:R:3 pbc="T T T"
Re 1.379 1.379 1.379
Re 1.379 1.379 4.137
Re 1.379 4.137 1.379
Re 1.379 4.137 4.137
Re 4.137 1.379 1.379
Re 4.137 1.379 4.137
Re 4.137 4.137 1.379
Re 4.137 4.137 4.137
F 0.000 0.000 0.000
F 0.000 2.758 2.758
F 2.758 0.000 2.758
F 2.758 2.758 0.000
```

The following is a DFT calculation (GGA-PBE) of a relaxed structure of CsCdSbSe3.

Output
- symmetry = Cmcm (63)

Structure (extended XYZ):
```
12
Lattice="2.175 -8.090 0.000 2.175 8.090 0.000 0.000 0.000 11.221" Properties=species:S:1:pos:R:3 pbc="T T T"
Cs 2.175 4.171 8.416
Cs 2.175 -4.171 2.805
Cd 2.175 7.410 2.805
Cd 2.175 -7.410 8.416
Sb 2.175 0.000 0.000
Sb 2.175 0.000 5.611
Se 2.175 6.156 0.484
Se 2.175 6.156 5.127
Se 2.175 0.945 2.805
Se 2.175 -0.945 8.416
Se 2.175 -6.156 6.094
Se 2.175 -6.156 10.738
```

The following is a DFT calculation (GGA-PBE) of a relaxed structure of HoTlCdTe3.

Output
- magnetization (μB/atom) = 0.0007
- distance to the lowest polymorph of the same formula (eV/atom) = 0.009
- symmetry = P2_1/m (11)

Structure (extended XYZ):
```
12
Lattice="8.805 0.000 0.000 0.000 4.451 0.000 -3.379 0.000 10.652" Properties=species:S:1:pos:R:3 pbc="T T T"
Ho 1.173 1.113 1.484
Ho 4.253 3.338 9.167
Tl -0.270 3.338 7.645
Tl 5.696 1.113 3.007
Cd 2.417 3.338 4.133
Cd 3.009 1.113 6.519
Te -2.413 1.113 9.105
Te 0.659 1.113 4.695
Te 3.342 3.338 1.477
Te 2.084 1.113 9.174
Te 4.767 3.338 5.957
Te 7.839 3.338 1.546
```

The following is a DFT calculation (GGA-PBE) of a relaxed structure of LuCoAu.

Output
- magnetization (μB/atom) = 0.4091
- symmetry = F-43m (216)
- E_form (eV per atom) = -0.026

Structure (extended XYZ):
```
12
Lattice="6.331 0.000 0.000 0.000 6.331 0.000 0.000 0.000 6.331" Properties=species:S:1:pos:R:3 pbc="T T T"
Lu 0.000 0.000 0.000
Lu 0.000 3.166 3.166
Lu 3.166 0.000 3.166
Lu 3.166 3.166 0.000
Co 0.000 0.000 3.166
Co 0.000 3.166 0.000
Co 3.166 0.000 0.000
Co 3.166 3.166 3.166
Au 1.583 1.583 4.748
Au 1.583 4.748 1.583
Au 4.748 1.583 1.583
Au 4.748 4.748 4.748
```

The following is a DFT calculation (GGA-PBE) of a relaxed structure of Nd2DyIn3AgPd2.

Output
- magnetization (μB/atom) = 0.0007
- symmetry = Amm2 (38)

Structure (extended XYZ):
```
9
Lattice="3.895 0.000 0.000 0.000 6.814 3.949 0.000 -6.814 3.949" Properties=species:S:1:pos:R:3 pbc="T T T"
Nd 0.000 -4.024 3.949
Nd 0.000 4.024 3.949
Dy 0.000 0.000 3.047
In 1.948 0.000 0.505
In 1.948 -1.786 5.216
In 1.948 1.786 5.216
Ag 0.000 0.000 6.264
Pd 1.948 -2.229 2.343
Pd 1.948 2.229 2.343
```

The following is a DFT calculation (GGA-PBE) of a relaxed structure of ZnTe.

Output
- symmetry = Amm2 (38)

Structure (extended XYZ):
```
16
Lattice="4.132 0.000 0.000 0.000 7.167 0.000 0.000 0.000 12.432" Properties=species:S:1:pos:R:3 pbc="T T T"
Zn 0.000 0.000 0.000
Zn 0.000 1.468 2.546
Zn 0.000 2.115 8.762
Zn 0.000 3.584 6.216
Zn 0.000 5.052 8.762
Zn 0.000 5.699 2.546
Zn 2.066 0.000 1.696
Zn 2.066 3.584 7.913
Te 0.000 0.000 5.844
Te 0.000 3.584 12.061
Te 2.066 0.000 8.074
Te 2.066 1.652 10.939
Te 2.066 1.932 4.723
Te 2.066 3.584 1.858
Te 2.066 5.235 4.723
Te 2.066 5.516 10.939
```

The following is a DFT calculation (GGA-PBE) of a relaxed structure of Sc3Ni2.

Output
- magnetization (μB/atom) = 0.0361
- distance to the lowest polymorph of the same formula (eV/atom) = 0.000
- symmetry = R-3 (148)
- E_form (eV per atom) = -0.401

Structure (extended XYZ):
```
15
Lattice="3.972 2.293 4.965 -3.972 2.293 4.965 0.000 -4.587 4.965" Properties=species:S:1:pos:R:3 pbc="T T T"
Sc 0.000 0.000 0.000
Sc -1.933 0.074 6.065
Sc 0.000 0.000 3.092
Sc -1.030 -1.637 8.831
Sc 0.903 -1.711 6.065
Sc -0.903 1.711 8.831
Sc 1.030 1.637 6.065
Sc 0.000 0.000 11.804
Sc 1.933 -0.074 8.831
Ni -1.465 -2.830 6.471
Ni -3.184 -0.146 8.425
Ni -1.719 2.684 6.471
Ni 1.719 -2.684 8.425
Ni 3.184 0.146 6.471
Ni 1.465 2.830 8.425
```

The following is a DFT calculation (GGA-PBE) of a relaxed structure of CdFeAsAu.

Output
- magnetization (μB/atom) = 0.7752
- distance to the lowest polymorph of the same formula (eV/atom) = 0.000
- symmetry = F-43m (216)

Structure (extended XYZ):
```
16
Lattice="6.589 0.000 0.000 0.000 6.589 0.000 0.000 0.000 6.589" Properties=species:S:1:pos:R:3 pbc="T T T"
Cd 0.000 0.000 0.000
Cd 0.000 3.294 3.294
Cd 3.294 0.000 3.294
Cd 3.294 3.294 0.000
Fe 0.000 0.000 3.294
Fe 0.000 3.294 0.000
Fe 3.294 0.000 0.000
Fe 3.294 3.294 3.294
As 1.647 1.647 1.647
As 1.647 4.942 4.942
As 4.942 1.647 4.942
As 4.942 4.942 1.647
Au 1.647 1.647 4.942
Au 1.647 4.942 1.647
Au 4.942 1.647 1.647
Au 4.942 4.942 4.942
```

The following is a DFT calculation (GGA-PBE) of a relaxed structure of PrYCu2As4.

Output
- magnetization (μB/atom) = 0.0001
- symmetry = P4mm (99)

Structure (extended XYZ):
```
8
Lattice="3.962 0.000 0.000 0.000 3.962 0.000 0.000 0.000 10.061" Properties=species:S:1:pos:R:3 pbc="T T T"
Pr 0.000 0.000 0.000
Y 1.981 1.981 4.781
Cu 0.000 1.981 7.374
Cu 1.981 0.000 7.374
As 0.000 0.000 5.808
As 0.000 1.981 2.453
As 1.981 0.000 2.453
As 1.981 1.981 8.917
```

The following is a DFT calculation (GGA-PBE) of a relaxed structure of PrTcAsO.

Output
- magnetization (μB/atom) = 0.0000
- distance to the lowest polymorph of the same formula (eV/atom) = 0.000
- symmetry = P4/nmm (129)

Structure (extended XYZ):
```
8
Lattice="4.041 0.000 0.000 0.000 4.041 0.000 0.000 0.000 8.871" Properties=species:S:1:pos:R:3 pbc="T T T"
Pr 1.010 1.010 1.213
Pr 3.031 3.031 7.658
Tc 1.010 3.031 4.436
Tc 3.031 1.010 4.436
As 1.010 1.010 5.923
As 3.031 3.031 2.948
O 1.010 3.031 0.000
O 3.031 1.010 0.000
```

The following is a DFT calculation (GGA-PBE) of a relaxed structure of YCuSiTc.

Output
- magnetization (μB/atom) = 0.0002
- distance to the lowest polymorph of the same formula (eV/atom) = 0.380
- symmetry = F-43m (216)

Structure (extended XYZ):
```
16
Lattice="6.496 0.000 0.000 0.000 6.496 0.000 0.000 0.000 6.496" Properties=species:S:1:pos:R:3 pbc="T T T"
Y 0.000 0.000 0.000
Y 0.000 3.248 3.248
Y 3.248 0.000 3.248
Y 3.248 3.248 0.000
Cu 0.000 0.000 3.248
Cu 0.000 3.248 0.000
Cu 3.248 0.000 0.000
Cu 3.248 3.248 3.248
Si 1.624 1.624 1.624
Si 1.624 4.872 4.872
Si 4.872 1.624 4.872
Si 4.872 4.872 1.624
Tc 1.624 1.624 4.872
Tc 1.624 4.872 1.624
Tc 4.872 1.624 1.624
Tc 4.872 4.872 4.872
```

The following is a DFT calculation (GGA-PBE) of a relaxed structure of ZrTl2Tc.

Output
- magnetization (μB/atom) = 0.1138
- symmetry = F-43m (216)

Structure (extended XYZ):
```
16
Lattice="6.952 0.000 0.000 0.000 6.952 0.000 0.000 0.000 6.952" Properties=species:S:1:pos:R:3 pbc="T T T"
Zr 0.000 0.000 0.000
Zr 0.000 3.476 3.476
Zr 3.476 0.000 3.476
Zr 3.476 3.476 0.000
Tl 0.000 0.000 3.476
Tl 0.000 3.476 0.000
Tl 1.738 1.738 1.738
Tl 1.738 5.214 5.214
Tl 3.476 0.000 0.000
Tl 3.476 3.476 3.476
Tl 5.214 1.738 5.214
Tl 5.214 5.214 1.738
Tc 1.738 1.738 5.214
Tc 1.738 5.214 1.738
Tc 5.214 1.738 1.738
Tc 5.214 5.214 5.214
```

The following is a DFT calculation (GGA-PBE) of a relaxed structure of AcTmPO.

Output
- magnetization (μB/atom) = 0.0002
- distance to the lowest polymorph of the same formula (eV/atom) = 0.042
- symmetry = Pmc2_1 (26)

Structure (extended XYZ):
```
8
Lattice="4.605 0.000 0.000 0.000 7.210 0.000 0.000 0.000 6.242" Properties=species:S:1:pos:R:3 pbc="T T T"
Ac 0.000 1.515 0.000
Ac 0.000 5.695 3.121
Tm 2.302 2.715 3.550
Tm 2.302 4.495 0.429
P 0.000 1.470 3.102
P 0.000 5.740 6.223
O 2.302 2.564 5.734
O 2.302 4.646 2.613
```

The following is a DFT calculation (GGA-PBE) of a relaxed structure of Pr3Si4Pd.

Output
- magnetization (μB/atom) = 0.0002
- symmetry = Pm (6)

Structure (extended XYZ):
```
8
Lattice="5.919 0.000 0.000 0.000 3.890 0.000 -1.203 0.000 7.751" Properties=species:S:1:pos:R:3 pbc="T T T"
Pr 0.000 0.000 0.000
Pr 0.483 0.000 3.642
Pr 3.365 1.945 4.792
Si 0.316 1.945 5.963
Si 1.799 0.000 6.511
Si 3.327 0.000 2.224
Si 4.803 1.945 2.039
Pd 2.974 1.945 0.383
```

The following is a DFT calculation (GGA-PBE) of a relaxed structure of Er2TmIn3Ir2Au.

Output
- magnetization (μB/atom) = 0.0023
- symmetry = Amm2 (38)

Structure (extended XYZ):
```
9
Lattice="3.811 0.000 0.000 0.000 6.635 3.839 0.000 -6.635 3.839" Properties=species:S:1:pos:R:3 pbc="T T T"
Er 0.000 -3.923 3.839
Er 0.000 3.923 3.839
Tm 0.000 0.000 2.973
In 1.906 0.000 0.510
In 1.906 -1.794 5.071
In 1.906 1.794 5.071
Ir 1.906 -2.205 2.274
Ir 1.906 2.205 2.274
Au 0.000 0.000 6.108
```

The following is a DFT calculation (GGA-PBE) of a relaxed structure of NaNdCu.

Output
- magnetization (μB/atom) = 0.0125
- symmetry = F-43m (216)

Structure (extended XYZ):
```
12
Lattice="6.942 0.000 0.000 0.000 6.942 0.000 0.000 0.000 6.942" Properties=species:S:1:pos:R:3 pbc="T T T"
Na 0.000 0.000 0.000
Na 0.000 3.471 3.471
Na 3.471 0.000 3.471
Na 3.471 3.471 0.000
Nd 1.736 1.736 5.207
Nd 1.736 5.207 1.736
Nd 5.207 1.736 1.736
Nd 5.207 5.207 5.207
Cu 0.000 0.000 3.471
Cu 0.000 3.471 0.000
Cu 3.471 0.000 0.000
Cu 3.471 3.471 3.471
```

The following is a DFT calculation (GGA-PBE) of a relaxed structure of CsPtO3.

Output
- magnetization (μB/atom) = 0.1736
- symmetry = P4mm (99)

Structure (extended XYZ):
```
5
Lattice="3.909 0.000 0.000 0.000 3.909 0.000 0.000 0.000 5.325" Properties=species:S:1:pos:R:3 pbc="T T T"
Cs 0.000 0.000 0.000
Pt 1.954 1.954 2.576
O 0.000 1.954 2.944
O 1.954 0.000 2.944
O 1.954 1.954 0.662
```

no.,total energy (eV for the cell shown)
1,-73.1
2,-9.9
3,-8.5
4,-88.5
5,-40.6
6,-44.1
7,-59.9
8,-41.6
9,-31.6
10,-96.4
11,-63.8
12,-43.9
13,-63.2
14,-97.8
15,-86.0
16,-54.0
17,-46.4
18,-49.1
19,-31.5
20,-24.1